No. 1
LiLaSmEr: relaxed, PBE.

Calculated values
Formation enthalpy at 0 K ... 0.151 eV/atom

abc: 5.594 5.594 5.594
angles: 60.00 60.00 60.00
Sites, in units of the cell vectors:
1 Sm 0.750 0.750 0.750
2 Er 0.500 0.500 0.500
3 La 0.250 0.250 0.250
4 Li 0.000 0.000 0.000

***

No. 2
Tb3NdHo6Sc2: relaxed, PBE.

Calculated values
Formation enthalpy at 0 K ... 0.036 eV/atom

abc: 6.064 6.064 11.619
angles: 94.97 94.97 119.96
Sites, in units of the cell vectors:
1 Ho 0.419 0.083 0.246
2 Ho 0.083 0.419 0.246
3 Ho 0.746 0.746 0.246
4 Ho 0.917 0.581 0.754
5 Ho 0.254 0.254 0.754
6 Ho 0.581 0.917 0.754
7 Tb 0.833 0.167 0.500
8 Tb 0.500 0.500 0.500
9 Tb 0.167 0.833 0.500
10 Nd 0.000 0.000 0.000
11 Sc 0.667 0.333 0.000
12 Sc 0.333 0.667 0.000

***

No. 3
YCBr3: relaxed, PBE.

Calculated values
E_form (uncorrected) ... 0.15 eV per atom
Offset from the most stable computed form ... 0.000 eV per atom

abc: 5.588 5.588 5.588
angles: 90.00 90.00 90.00
Each line ends with the local moment (μB).
Sites, in units of the cell vectors:
1 C 0.500 0.500 0.500  0.98
2 Br 0.000 0.500 0.000  0.00
3 Br 0.500 0.000 0.000  0.00
4 Br 0.000 0.000 0.500  0.00
5 Y 0.000 0.000 0.000  0.00

***

no.,spin magnetization (Bohr magnetons per cell),VASP energy (eV/atom)
1,0.00,-3.88
2,0.00,-4.86
3,2.00,-4.00